(1)
meta-GGA SCAN Mn3Os, PBEsol geometry; symmetry = Pm-3m, No. 221
1.0
3.571 0.000 0.000
0.000 3.571 0.000
0.000 0.000 3.571
Mn Os
3 1
Direct
0.500 0.000 0.000
0.000 0.500 0.000
0.000 0.000 0.500
0.500 0.500 0.500

(2)
meta-GGA SCAN MnOs2, PBEsol geometry; symmetry = Cmcm, No. 63
1.0
2.682 0.000 0.000
0.000 4.219 0.000
-1.341 0.000 6.846
Mn Os
2 4
Direct
0.724 0.750 0.449
0.276 0.250 0.551
0.940 0.250 0.881
0.381 0.750 0.762
0.060 0.750 0.119
0.619 0.250 0.238

(3)
meta-GGA SCAN MnOs5, PBEsol geometry; symmetry = Cm, No. 8
1.0
2.708 0.000 0.000
-1.354 4.854 0.002
0.000 -1.483 6.133
Os Mn
5 1
Direct
0.665 0.331 0.330
0.336 0.671 0.672
0.720 0.441 0.946
0.056 0.111 0.615
0.390 0.781 0.271
0.000 0.999 0.000

(4)
meta-GGA SCAN Mn5Os3, PBEsol geometry; symmetry = Cmmm, No. 65
1.0
3.671 0.000 0.000
0.000 5.126 -0.008
0.000 -0.095 5.125
Os Mn
3 5
Direct
0.500 0.242 0.758
0.500 0.758 0.242
0.000 0.500 0.500
0.000 0.000 0.500
0.000 0.500 0.000
0.500 0.752 0.752
0.500 0.248 0.248
0.000 0.000 0.000

(5)
meta-GGA SCAN Mn2Os, PBEsol geometry; symmetry = P6/mmm, No. 191
1.0
2.589 0.000 0.000
0.000 3.942 0.000
0.000 -1.971 3.414
Mn Os
2 1
Direct
0.000 0.667 0.333
0.000 0.333 0.667
0.500 0.000 0.000

(6)
meta-GGA SCAN Mn3Os, PBEsol geometry; symmetry = Imm2, No. 44
1.0
2.578 0.000 0.000
0.000 4.367 0.000
-1.289 -2.184 4.039
Os Mn
1 3
Direct
0.000 0.660 0.000
0.756 0.762 0.513
0.244 0.250 0.487
0.500 0.162 0.000

(7)
meta-GGA SCAN Mn3Os, PBEsol geometry; symmetry = Pnma, No. 62
1.0
-1.600 -3.458 -2.251
0.734 -2.974 4.048
-7.448 1.736 2.627
Mn Os
12 4
Direct
0.582 0.372 0.750
0.741 0.628 0.495
0.759 0.128 0.505
0.241 0.872 0.495
0.241 0.872 0.005
0.259 0.372 0.505
0.082 0.128 0.750
0.741 0.628 0.005
0.418 0.628 0.250
0.259 0.372 0.995
0.918 0.872 0.250
0.759 0.128 0.995
0.578 0.883 0.750
0.922 0.383 0.250
0.422 0.117 0.250
0.078 0.617 0.750

(8)
meta-GGA SCAN MnOs5, PBEsol geometry; symmetry = P-62m, No. 189
1.0
4.248 0.000 0.000
0.000 4.678 0.000
0.000 -2.339 4.051
Mn Os
1 5
Direct
0.500 0.000 0.000
0.500 0.667 0.333
0.000 0.674 0.000
0.500 0.333 0.667
0.000 0.326 0.326
0.000 0.000 0.674

Values for E_form, meV per atom, ordered as above
92 58 16 -82 67 34 20 -27